CrFe3 after structural relaxation, computed with PBE.

a b c (Å): 3.5582 3.5582 3.5582
angles (deg): 90.00 90.00 90.00
Last column: nearest neighbours and their distance in Å.
Space group Pm-3m (No. 221)
Inequivalent atoms, fractional coordinates:
Cr 0.0000 0.0000 0.0000 x1  12 Fe 2.52
Fe 0.0000 0.5000 0.5000 x3  8 Fe 2.52, 4 Cr 2.52

## Properties
ΔH_f (0 K) = 0.0435 eV per atom
crystal system = cubic
DOS(E_F) = 4.55 states/eV/f.u.
magnetic moment = 3.09 Bohr magnetons per cell

Rb3CdPd after structural relaxation, computed with PBE.

a b c (Å): 6.5168 6.5168 6.5168
angles (deg): 90.00 90.00 90.00
Last column: nearest neighbours and their distance in Å.
Space group Pm-3m (No. 221)
Inequivalent atoms, fractional coordinates:
Rb 0.0000 0.0000 0.5000 x3  2 Pd 3.26
Cd 0.5000 0.5000 0.5000 x1  12 Rb 4.61
Pd 0.0000 0.0000 0.0000 x1  6 Rb 3.26

## Properties
energy above the lowest structure with this stoichiometry = 0.0 kJ per mole of atoms
ΔH_f (0 K) = 0.1462 eV per atom
crystal system = cubic
DOS(E_F) = 5.22 states/eV/f.u.
magnetic moment = 0.00 Bohr magnetons per cell

ZrAl2BiN after structural relaxation, computed with PBE.

a b c (Å): 4.2655 4.2655 4.7775
angles (deg): 90.00 90.00 90.00
Last column: nearest neighbours and their distance in Å.
Space group P4/mmm (No. 123)
Inequivalent atoms, fractional coordinates:
Zr 0.0000 0.0000 0.0000 x1  2 N 2.39
Al 0.0000 0.5000 0.5000 x2  2 N 2.13
Bi 0.5000 0.5000 0.0000 x1  4 Zr 3.02, 8 Al 3.20
N 0.0000 0.0000 0.5000 x1  4 Al 2.13

## Properties
crystal system = tetragonal
DOS(E_F) = 2.31 states/eV/f.u.
magnetic moment = 0.00 Bohr magnetons per cell

Na2Sc3Cl8 after structural relaxation, computed with PBE.

a b c (Å): 14.2004 7.3238 6.3378
angles (deg): 90.00 104.24 90.00
Last column: nearest neighbours and their distance in Å.
Space group C2/m (No. 12)
Inequivalent atoms, fractional coordinates:
Na 0.2335 0.0000 0.1602 x4  5 Cl 2.72-2.86
Sc 0.0000 0.2751 0.5000 x4  6 Cl 2.60-2.63
Sc 0.0000 0.5000 0.0000 x2  6 Cl 2.59-2.65
Cl 0.1010 0.0000 0.4053 x4  2 Sc 2.63, 1 Na 2.72
Cl 0.1138 0.2613 0.8897 x8  2 Sc 2.59-2.60, 2 Na 2.84-2.86
Cl 0.1219 0.5000 0.3903 x4  3 Sc 2.61-2.65

## Properties
crystal system = monoclinic
DOS(E_F) = 2.99 states/eV/f.u.
magnetic moment = 5.49 Bohr magnetons per cell

ScZnCd3 after structural relaxation, computed with PBE.

a b c (Å): 5.7326 5.7326 5.7326
angles (deg): 90.00 90.00 90.00
Last column: nearest neighbours and their distance in Å.
Space group Pm-3m (No. 221)
Inequivalent atoms, fractional coordinates:
Sc 0.0000 0.0000 0.0000 x1  6 Cd 2.87
Zn 0.5000 0.5000 0.5000 x1  12 Cd 4.05
Cd 0.0000 0.0000 0.5000 x3  2 Sc 2.87

## Properties
energy above the lowest structure with this stoichiometry = 78.6 kJ per mole of atoms
ΔH_f (0 K) = 0.7265 eV per atom
crystal system = cubic
DOS(E_F) = 6.97 states/eV/f.u.
magnetic moment = 1.29 Bohr magnetons per cell

U2Co4P3Ru after structural relaxation, computed with PBE.

a b c (Å): 3.6572 3.6572 10.3981
angles (deg): 90.00 90.00 90.00
Last column: nearest neighbours and their distance in Å.
Space group P-4m2 (No. 115)
Inequivalent atoms, fractional coordinates:
U 0.0000 0.5000 0.2467 x2  4 Co 2.70, 4 P 2.94
Co 0.0000 0.0000 0.5000 x1  4 P 2.21
Co 0.0000 0.5000 0.8293 x2  1 P 2.19
Co 0.5000 0.5000 0.5000 x1  4 P 2.21
P 0.0000 0.0000 0.0000 x1  4 Co 2.55, 4 Ru 2.59
P 0.0000 0.5000 0.6191 x2  5 Co 2.19-2.21
Ru 0.5000 0.5000 0.0000 x1  4 Co 2.55, 4 P 2.59

## Properties
ΔH_f (0 K) = -0.6570 eV per atom
crystal system = tetragonal
DOS(E_F) = 10.83 states/eV/f.u.
magnetic moment = 2.18 Bohr magnetons per cell

Ce2GaPt6 after structural relaxation, computed with PBE.

a b c (Å): 9.7177 5.6776 6.3358
angles (deg): 90.00 103.69 90.00
Last column: nearest neighbours and their distance in Å.
Space group C2/m (No. 12)
Inequivalent atoms, fractional coordinates:
Ce 0.1437 0.0000 0.3483 x4  9 Pt 2.97-3.29
Ga 0.0000 0.5000 0.5000 x2  6 Pt 2.51-2.56
Pt 0.1251 0.5000 0.1962 x4  1 Ga 2.51, 2 Pt 2.76
Pt 0.1316 0.2435 0.8153 x8  1 Ga 2.56, 3 Pt 2.76-2.83

## Properties
energy above the lowest structure with this stoichiometry = 1.9 kJ per mole of atoms
ΔH_f (0 K) = -0.9391 eV per atom
crystal system = monoclinic
DOS(E_F) = 11.89 states/eV/f.u.
magnetic moment = 2.07 Bohr magnetons per cell

V3TcRu2 after structural relaxation, computed with PBE.

a b c (Å): 3.0079 3.0079 9.0913
angles (deg): 90.00 90.00 90.00
Last column: nearest neighbours and their distance in Å.
Space group P4/mmm (No. 123)
Inequivalent atoms, fractional coordinates:
V 0.0000 0.0000 0.0000 x1  8 Ru 2.61
V 0.0000 0.0000 0.3384 x2  4 Tc 2.59, 4 Ru 2.64
Tc 0.5000 0.5000 0.5000 x1  8 V 2.59
Ru 0.5000 0.5000 0.1661 x2  8 V 2.61-2.64

## Properties
ΔH_f (0 K) = -0.2946 eV per atom
crystal system = tetragonal
DOS(E_F) = 6.32 states/eV/f.u.
magnetic moment = 0.14 Bohr magnetons per cell

no.,electronic total energy (Ry per atom)
1,-0.640
2,-0.122
3,-0.425
4,-0.341
5,-0.099
6,-0.611
7,-0.487
8,-0.711